A relaxed structure of PaCoGeO6. Source: Alexandria, functional GGA+U.

Cell and atoms, written as POSCAR:
```
PaCoGeO6
1.0
5.3412 0.0000 0.0000
-2.6706 4.6256 0.0000
0.0000 0.0000 8.6769
Pa Co Ge O
2 2 2 12
direct
0.3333 0.6667 0.2500
0.6667 0.3333 0.7500
0.0000 0.0000 0.0000
0.0000 0.0000 0.5000
0.3333 0.6667 0.7500
0.6667 0.3333 0.2500
0.0371 0.3556 0.6287
0.0371 0.6815 0.8713
0.3185 0.3556 0.8713
0.3185 0.9629 0.6287
0.3556 0.0371 0.1287
0.3556 0.3185 0.3713
0.6444 0.6815 0.6287
0.6444 0.9629 0.8713
0.6815 0.0371 0.3713
0.6815 0.6444 0.1287
0.9629 0.3185 0.1287
0.9629 0.6444 0.3713
```

- VASP energy (eV per atom) = -7.3604
- spin magnetization (μB/cell) = 6.88